No. 1
VCrHg2Pb | GGA-PBE | relaxed

Lattice parameters (Å, degrees): 5.362 5.362 4.096 90.00 90.00 90.00
Element x y z (fractional)
V (0.000, 0.000, 0.000)
Cr (0.000, 0.000, 0.500)
Hg (0.000, 0.500, 0.500)
Hg (0.500, 0.000, 0.500)
Pb (0.500, 0.500, 0.000)

Values from the calculation:
Final energy in Ry/atom: -0.2876
Space-group type: P4/mmm, No. 123
Crystal system: tetragonal
E_form in eV per atom: 0.698

---

No. 2
CeErTe3 | GGA-PBE | relaxed

Lattice parameters (Å, degrees): 7.405 7.405 10.798 90.00 90.00 146.22
Element x y z (fractional)
Ce (0.248, 0.752, 0.750)
Ce (0.752, 0.248, 0.250)
Er (0.000, 0.000, 0.000)
Er (0.000, 0.000, 0.500)
Te (0.089, 0.911, 0.250)
Te (0.354, 0.646, 0.063)
Te (0.354, 0.646, 0.437)
Te (0.646, 0.354, 0.563)
Te (0.646, 0.354, 0.937)
Te (0.911, 0.089, 0.750)

Values from the calculation:
Formation energy (no corrections) in meV per atom: -1365
Final energy in Ry/atom: -0.3932
Space-group type: Cmcm, No. 63
Crystal system: orthorhombic
Polymorph energy (0 for the lowest one) in eV/atom: 0.000

---

No. 3
Nd5Ir2Br2 | GGA-PBE | relaxed

Lattice parameters (Å, degrees): 8.980 8.980 8.078 90.00 90.00 53.22
Element x y z (fractional)
Nd (0.000, 0.000, 0.000)
Nd (0.042, 0.732, 0.654)
Nd (0.232, 0.542, 0.154)
Nd (0.268, 0.958, 0.654)
Nd (0.458, 0.768, 0.154)
Nd (0.500, 0.500, 0.500)
Nd (0.542, 0.232, 0.846)
Nd (0.732, 0.042, 0.346)
Nd (0.768, 0.458, 0.846)
Nd (0.958, 0.268, 0.346)
Ir (0.143, 0.857, 0.360)
Ir (0.357, 0.643, 0.860)
Ir (0.643, 0.357, 0.140)
Ir (0.857, 0.143, 0.640)
Br (0.208, 0.208, 0.000)
Br (0.292, 0.292, 0.500)
Br (0.708, 0.708, 0.500)
Br (0.792, 0.792, 0.000)

Values from the calculation:
Formation energy (no corrections) in meV per atom: -892
Final energy in Ry/atom: -0.4323
Space-group type: Cmce, No. 64
Crystal system: orthorhombic

---

No. 4
CaInSn2Cl6 | GGA-PBE | relaxed

Lattice parameters (Å, degrees): 7.821 7.864 7.988 90.27 119.24 119.68
Element x y z (fractional)
Ca (0.000, 0.000, 0.000)
In (0.219, 0.608, 0.829)
Sn (0.392, 0.196, 0.587)
Sn (0.551, 0.774, 0.325)
Cl (0.176, 0.972, 0.788)
Cl (0.211, 0.839, 0.286)
Cl (0.445, 0.369, 0.284)
Cl (0.588, 0.614, 0.789)
Cl (0.814, 0.201, 0.787)
Cl (0.912, 0.076, 0.285)

Values from the calculation:
Formation energy (no corrections) in meV per atom: -1195
Final energy in Ry/atom: -0.2629
Space-group type: P1, No. 1
Crystal system: triclinic

---

No. 5
Al2Tl5S6 | GGA-PBE | relaxed

Lattice parameters (Å, degrees): 7.405 7.405 16.001 101.84 101.84 63.77
Element x y z (fractional)
Al (0.107, 0.343, 0.433)
Al (0.343, 0.107, 0.933)
Al (0.657, 0.893, 0.067)
Al (0.893, 0.657, 0.567)
Tl (0.008, 0.676, 0.256)
Tl (0.236, 0.723, 0.001)
Tl (0.277, 0.764, 0.499)
Tl (0.324, 0.992, 0.244)
Tl (0.335, 0.665, 0.750)
Tl (0.665, 0.335, 0.250)
Tl (0.676, 0.008, 0.756)
Tl (0.723, 0.236, 0.501)
Tl (0.764, 0.277, 0.999)
Tl (0.992, 0.324, 0.744)
S (0.033, 0.075, 0.373)
S (0.075, 0.033, 0.873)
S (0.185, 0.364, 0.579)
S (0.347, 0.352, 0.368)
S (0.352, 0.347, 0.868)
S (0.364, 0.185, 0.079)
S (0.636, 0.815, 0.921)
S (0.648, 0.653, 0.132)
S (0.653, 0.648, 0.632)
S (0.815, 0.636, 0.421)
S (0.925, 0.967, 0.127)
S (0.967, 0.925, 0.627)

Values from the calculation:
Formation energy (no corrections) in meV per atom: -613
Final energy in Ry/atom: -0.2943
Space-group type: C2/c, No. 15
Crystal system: monoclinic

---

No. 6
CaPr2Ga6 | GGA-PBE | relaxed

Lattice parameters (Å, degrees): 7.435 7.435 4.367 90.00 90.00 120.00
Element x y z (fractional)
Ca (0.000, 0.000, 0.000)
Pr (0.333, 0.667, 0.000)
Pr (0.667, 0.333, 0.000)
Ga (0.000, 0.334, 0.500)
Ga (0.000, 0.666, 0.500)
Ga (0.334, 0.000, 0.500)
Ga (0.334, 0.334, 0.500)
Ga (0.666, 0.000, 0.500)
Ga (0.666, 0.666, 0.500)

Values from the calculation:
Final energy in Ry/atom: -0.2881
Space-group type: P6/mmm, No. 191
Crystal system: hexagonal
E_form in eV per atom: -0.618

---

No. 7
SiB2PdPt | GGA-PBE | relaxed

Lattice parameters (Å, degrees): 3.949 3.949 4.663 90.00 90.00 90.00
Element x y z (fractional)
Si (0.000, 0.000, 0.000)
B (0.000, 0.500, 0.000)
B (0.500, 0.000, 0.000)
Pd (0.500, 0.500, 0.500)
Pt (0.000, 0.000, 0.500)

Values from the calculation:
Formation energy (no corrections) in meV per atom: 1083
Final energy in Ry/atom: -0.3615
Space-group type: P4/mmm, No. 123
Crystal system: tetragonal

---

No. 8
YNiH3 | GGA-PBE | relaxed

Lattice parameters (Å, degrees): 5.853 4.384 8.516 90.00 114.36 90.00
Element x y z (fractional)
Y (0.204, 0.239, 0.192)
Y (0.204, 0.261, 0.692)
Y (0.796, 0.739, 0.308)
Y (0.796, 0.761, 0.808)
Ni (0.376, 0.747, 0.453)
Ni (0.376, 0.753, 0.953)
Ni (0.624, 0.247, 0.047)
Ni (0.624, 0.253, 0.547)
H (0.147, 0.733, 0.257)
H (0.147, 0.767, 0.757)
H (0.303, 0.083, 0.478)
H (0.303, 0.417, 0.978)
H (0.470, 0.521, 0.622)
H (0.470, 0.979, 0.122)
H (0.530, 0.021, 0.878)
H (0.530, 0.479, 0.378)
H (0.697, 0.583, 0.022)
H (0.697, 0.917, 0.522)
H (0.853, 0.233, 0.243)
H (0.853, 0.267, 0.743)

Values from the calculation:
Final energy in Ry/atom: -0.3599
Space-group type: P2_1/c, No. 14
Crystal system: monoclinic

---

No. 9
In2Re | GGA-PBE | relaxed

Lattice parameters (Å, degrees): 4.813 4.813 2.921 90.00 90.00 90.00
Element x y z (fractional)
In (0.000, 0.500, 0.000)
In (0.500, 0.000, 0.000)
Re (0.000, 0.000, 0.500)

Values from the calculation:
Final energy in Ry/atom: -0.4123
Space-group type: P4/mmm, No. 123
Crystal system: tetragonal
E_form in eV per atom: 0.366

---

No. 10
SmAg2TeS4 | GGA-PBE | relaxed

Lattice parameters (Å, degrees): 7.931 7.931 8.124 120.14 120.14 83.21
Element x y z (fractional)
Sm (0.000, 0.000, 0.000)
Sm (0.000, 0.000, 0.500)
Ag (0.000, 0.500, 0.000)
Ag (0.500, 0.000, 0.500)
Ag (0.500, 0.500, 0.000)
Ag (0.500, 0.500, 0.500)
Te (0.000, 0.500, 0.500)
Te (0.500, 0.000, 0.000)
S (0.205, 0.673, 0.941)
S (0.219, 0.223, 0.966)
S (0.223, 0.219, 0.466)
S (0.327, 0.795, 0.559)
S (0.673, 0.205, 0.441)
S (0.777, 0.781, 0.534)
S (0.781, 0.777, 0.034)
S (0.795, 0.327, 0.059)

Values from the calculation:
Formation energy (no corrections) in meV per atom: -560
Final energy in Ry/atom: -0.3174
Space-group type: C2/c, No. 15
Crystal system: monoclinic

---

No. 11
KBaRh2 | GGA-PBE | relaxed

Lattice parameters (Å, degrees): 5.156 5.156 5.156 60.00 60.00 60.00
Element x y z (fractional)
K (0.000, 0.000, 0.000)
Ba (0.750, 0.750, 0.750)
Rh (0.250, 0.250, 0.250)
Rh (0.500, 0.500, 0.500)

Values from the calculation:
Final energy in Ry/atom: -0.2821
Space-group type: F-43m, No. 216
Crystal system: cubic
Polymorph energy (0 for the lowest one) in eV/atom: 0.482
E_form in eV per atom: 0.593

---

No. 12
Li2Fe2P | GGA-PBE | relaxed

Lattice parameters (Å, degrees): 8.470 8.470 8.470 159.57 159.57 29.05
Element x y z (fractional)
Li (0.101, 0.101, 0.000)
Li (0.899, 0.899, 0.000)
Fe (0.250, 0.750, 0.500)
Fe (0.750, 0.250, 0.500)
P (0.500, 0.500, 0.000)

Values from the calculation:
Final energy in Ry/atom: -0.3563
Space-group type: I4/mmm, No. 139
Crystal system: tetragonal
Polymorph energy (0 for the lowest one) in eV/atom: 0.000
E_form in eV per atom: 0.385

---

No. 13
Be12Al | GGA-PBE | relaxed

Lattice parameters (Å, degrees): 5.575 5.575 5.575 98.17 98.17 135.71
Element x y z (fractional)
Be (0.000, 0.000, 0.500)
Be (0.000, 0.223, 0.223)
Be (0.000, 0.500, 0.000)
Be (0.000, 0.777, 0.777)
Be (0.150, 0.500, 0.650)
Be (0.223, 0.000, 0.223)
Be (0.500, 0.000, 0.000)
Be (0.500, 0.150, 0.650)
Be (0.500, 0.500, 0.500)
Be (0.500, 0.850, 0.350)
Be (0.777, 0.000, 0.777)
Be (0.850, 0.500, 0.350)
Al (0.500, 0.500, 0.000)

Values from the calculation:
Final energy in Ry/atom: -0.2683
Space-group type: I4/mmm, No. 139
Crystal system: tetragonal
E_form in eV per atom: 0.077

---

No. 14
PmTm3Zn8 | GGA-PBE | relaxed

Lattice parameters (Å, degrees): 5.516 5.516 8.678 90.00 90.00 120.00
Element x y z (fractional)
Pm (0.000, 0.000, 0.000)
Tm (0.000, 0.000, 0.384)
Tm (0.667, 0.333, 0.505)
Tm (0.667, 0.333, 0.886)
Zn (0.165, 0.330, 0.689)
Zn (0.165, 0.835, 0.689)
Zn (0.333, 0.667, 0.443)
Zn (0.333, 0.667, 0.944)
Zn (0.503, 0.006, 0.196)
Zn (0.503, 0.497, 0.196)
Zn (0.670, 0.835, 0.689)
Zn (0.994, 0.497, 0.196)

Values from the calculation:
Final energy in Ry/atom: -0.1969
Space-group type: P3m1, No. 156
Crystal system: trigonal
E_form in eV per atom: -0.316

---

No. 15
Ca2ZnHg | GGA-PBE | relaxed

Lattice parameters (Å, degrees): 5.287 5.287 5.287 60.00 60.00 60.00
Element x y z (fractional)
Ca (0.250, 0.250, 0.250)
Ca (0.750, 0.750, 0.750)
Zn (0.000, 0.000, 0.000)
Hg (0.500, 0.500, 0.500)

Values from the calculation:
Final energy in Ry/atom: -0.1315
Space-group type: Fm-3m, No. 225
Crystal system: cubic
Polymorph energy (0 for the lowest one) in eV/atom: 0.000
E_form in eV per atom: -0.394

---

No. 16
PmMg4Pb | GGA-PBE | relaxed

Lattice parameters (Å, degrees): 6.059 6.059 6.059 60.00 60.00 60.00
Element x y z (fractional)
Pm (0.000, 0.000, 0.000)
Mg (0.126, 0.625, 0.625)
Mg (0.625, 0.126, 0.625)
Mg (0.625, 0.625, 0.126)
Mg (0.625, 0.625, 0.625)
Pb (0.250, 0.250, 0.250)

Values from the calculation:
Final energy in Ry/atom: -0.1847
Space-group type: F-43m, No. 216
Crystal system: cubic
E_form in eV per atom: -0.040

---

No. 17
Sm2Y3Er5 | GGA-PBE | relaxed

Lattice parameters (Å, degrees): 9.495 9.495 9.423 108.14 108.14 112.07
Element x y z (fractional)
Sm (0.019, 0.267, 0.048)
Sm (0.267, 0.019, 0.548)
Sm (0.733, 0.981, 0.452)
Sm (0.981, 0.733, 0.952)
Y (0.223, 0.464, 0.452)
Y (0.270, 0.730, 0.250)
Y (0.464, 0.223, 0.952)
Y (0.536, 0.777, 0.048)
Y (0.730, 0.270, 0.750)
Y (0.777, 0.536, 0.548)
Er (0.023, 0.977, 0.750)
Er (0.149, 0.381, 0.776)
Er (0.231, 0.769, 0.750)
Er (0.381, 0.149, 0.276)
Er (0.471, 0.529, 0.250)
Er (0.529, 0.471, 0.750)
Er (0.619, 0.851, 0.724)
Er (0.769, 0.231, 0.250)
Er (0.851, 0.619, 0.224)
Er (0.977, 0.023, 0.250)

Values from the calculation:
Final energy in Ry/atom: -0.3650
Space-group type: C2/c, No. 15
Crystal system: monoclinic
E_form in eV per atom: 0.199

---

No. 18
BeRu | GGA-PBE | relaxed

Lattice parameters (Å, degrees): 6.010 6.010 6.010 90.00 90.00 90.00
Element x y z (fractional)
Be (0.000, 0.250, 0.500)
Be (0.000, 0.750, 0.500)
Be (0.250, 0.500, 0.000)
Be (0.500, 0.000, 0.250)
Be (0.500, 0.000, 0.750)
Be (0.750, 0.500, 0.000)
Ru (0.000, 0.500, 0.250)
Ru (0.000, 0.500, 0.750)
Ru (0.250, 0.000, 0.500)
Ru (0.500, 0.250, 0.000)
Ru (0.500, 0.750, 0.000)
Ru (0.750, 0.000, 0.500)

Values from the calculation:
Final energy in Ry/atom: -0.3781
Space-group type: Pm-3n, No. 223
Crystal system: cubic
E_form in eV per atom: 1.357